YGaCoAg | OQMD | GGA-PBE | optimized geometry; magnetization = 3.5 μB/cell; energy above the most stable polymorph in this dataset = 0 meV per atom; VASP energy = -0.3665 Ry per atom
1.0
6.584 0.000 0.000
0.000 6.584 0.000
0.000 0.000 6.584
Y Ga Co Ag
4 4 4 4
Cartesian
0.000 0.000 0.000
0.000 3.292 3.292
3.292 0.000 3.292
3.292 3.292 0.000
0.000 0.000 3.292
0.000 3.292 0.000
3.292 0.000 0.000
3.292 3.292 3.292
1.646 1.646 4.938
1.646 4.938 1.646
4.938 1.646 1.646
4.938 4.938 4.938
1.646 1.646 1.646
1.646 4.938 4.938
4.938 1.646 4.938
4.938 4.938 1.646